(1)
Computed, not measured: crystalline ZrSiTe at its relaxed geometry at the PBE-GGA level of DFT.

Unit cell a=3.693 b=3.693 c=10.127 alpha=90.00 beta=90.00 gamma=90.00
Element x y z (fractional)
Si  0.750  0.250  0.500
Si  0.250  0.750  0.500
Te  0.250  0.250  0.154
Te  0.750  0.750  0.846
Zr  0.250  0.250  0.711
Zr  0.750  0.750  0.289

Properties
Raw formation energy, eV per atom: -0.803
Space-group type: P4/nmm
Density of states at the Fermi level, states/eV/cell: 1.58
Energy above the lowest structure with this stoichiometry, meV per atom: 0

---

(2)
Computed, not measured: crystalline Zr2Si2Te at its relaxed geometry at the PBE-GGA level of DFT.

Unit cell a=3.633 b=3.633 c=7.972 alpha=76.83 beta=76.83 gamma=90.00
Element x y z (fractional)
Si  0.750  0.250  0.500
Si  0.250  0.750  0.500
Te  0.000  0.000  0.000
Zr  0.389  0.389  0.221
Zr  0.611  0.611  0.779

Properties
Raw formation energy, eV per atom: -0.663
Space-group type: I4/mmm
Density of states at the Fermi level, states/eV/cell: 3.71
Energy above the lowest structure with this stoichiometry, meV per atom: 0

---

(3)
Computed, not measured: crystalline Zr2SiTe at its relaxed geometry at the PBE-GGA level of DFT.

Unit cell a=4.693 b=3.562 c=5.377 alpha=70.75 beta=90.00 gamma=90.00
Element x y z (fractional)
Si  0.000  0.717  0.437
Te  0.500  0.534  0.810
Zr  0.000  0.995  0.887
Zr  0.500  0.254  0.366

Properties
Raw formation energy, eV per atom: -0.531
Space-group type: Pm
Density of states at the Fermi level, states/eV/cell: 3.15
Energy above the lowest structure with this stoichiometry, meV per atom: 248

---

(4)
Computed, not measured: crystalline ZrSi2Te at its relaxed geometry at the PBE-GGA level of DFT.

Unit cell a=3.580 b=3.580 c=6.507 alpha=90.00 beta=90.00 gamma=90.00
Element x y z (fractional)
Si  0.000  0.000  0.019
Si  0.500  0.500  0.171
Te  0.000  0.000  0.539
Zr  0.500  0.500  0.771

Properties
Raw formation energy, eV per atom: -0.079
Space-group type: P4mm
Density of states at the Fermi level, states/eV/cell: 1.78
Energy above the lowest structure with this stoichiometry, meV per atom: 279

---

(5)
Computed, not measured: crystalline ZrSi2Te at its relaxed geometry at the PBE-GGA level of DFT.

Unit cell a=4.863 b=4.863 c=3.399 alpha=90.00 beta=90.00 gamma=102.77
Element x y z (fractional)
Si  0.000  0.000  0.000
Si  0.500  0.500  0.000
Te  0.500  0.000  0.500
Zr  0.000  0.500  0.500

Properties
Raw formation energy, eV per atom: 0.060
Space-group type: Cmmm
Density of states at the Fermi level, states/eV/cell: 2.26
Energy above the lowest structure with this stoichiometry, meV per atom: 417

---

(6)
Computed, not measured: crystalline Zr3SiTe at its relaxed geometry at the PBE-GGA level of DFT.

Unit cell a=4.976 b=4.976 c=4.976 alpha=90.00 beta=90.00 gamma=90.00
Element x y z (fractional)
Si  0.000  0.000  0.000
Te  0.500  0.500  0.500
Zr  0.000  0.500  0.000
Zr  0.000  0.000  0.500
Zr  0.500  0.000  0.000

Properties
Raw formation energy, eV per atom: 0.060
Space-group type: Pm-3m
Density of states at the Fermi level, states/eV/cell: 6.19
Energy above the lowest structure with this stoichiometry, meV per atom: 0